No. 1
Compound: Ac12Pm7Tm
Source: Alexandria via LeMat-Bulk
Functional: GGA-PBE
Structure: relaxed

E_form = 183.8 meV/atom
Total moment = 0.000 μB/cell
Theoretical density = 7.78 g cm⁻³

```
20
Lattice="-5.685 -0.153 -3.502 5.481 -10.074 -4.211 -4.389 -0.480 11.391" Properties=species:S:1:pos:R:3 pbc="T T T"
Pm -8.137 -3.051 7.243
Pm -6.137 -0.257 -0.371
Pm 1.544 -10.450 4.049
Pm -1.718 -2.608 0.511
Pm 3.544 -7.655 -3.565
Pm -2.874 -8.098 3.167
Pm -2.842 -0.077 -1.751
Ac -4.817 -3.789 -0.723
Ac 1.954 -6.014 -0.784
Ac 0.353 -6.681 -4.744
Ac 0.224 -6.917 4.401
Ac -2.119 -2.060 5.651
Ac -3.970 -0.236 2.426
Ac -3.161 -4.511 3.204
Ac -0.623 -10.471 1.252
Ac -2.474 -8.646 -1.973
Ac -6.547 -4.692 4.462
Ac -1.432 -6.196 0.474
Ac -4.946 -4.025 8.421
Tm 0.000 0.000 0.000
```


No. 2
Compound: Cs2SmCdI6
Source: Alexandria via LeMat-Bulk
Functional: GGA-PBE
Structure: relaxed

Uncorrected formation energy = -12.01 eV per formula unit
Total moment = 0.000 μB/cell
Theoretical density = 4.30 g cm⁻³

```
20
Lattice="-3.421 6.935 -4.412 -0.899 -5.070 -7.271 -11.538 -3.315 3.737" Properties=species:S:1:pos:R:3 pbc="T T T"
I -2.995 2.653 -6.892
I -0.876 1.736 -1.165
I -4.770 1.385 -3.106
I -7.061 -2.514 -2.879
I -7.502 -4.995 -6.443
I -3.609 -4.645 -4.502
I -1.318 -0.745 -4.730
I -10.640 -0.301 -1.205
I -9.277 -6.273 -2.666
I -8.805 1.022 -5.129
I -9.244 -1.465 -8.689
I -2.556 5.140 -3.331
Cs -3.114 -2.100 -0.885
Cs -11.042 -2.820 -4.852
Cs -5.264 -1.160 -6.723
Cs -8.874 -3.755 0.980
Cd -0.674 -3.804 -5.456
Cd -7.704 0.544 -2.153
Sm -6.443 -5.457 -3.581
Sm -1.936 2.198 -4.027
```